DFT (PBE) results for a relaxed structure of PaNiAg.

Summary:
The offset from the most stable computed form comes out at 277 meV per atom. As for the formation energy: 0.7 eV per formula unit. For the total magnetization, the calculation gives 0.4 μB per formula unit.

```
data_PaNiAg
_space_group_name_H-M_alt 'R -3 m'
_space_group_IT_number 166
_space_group_name_Hall '-R 3 2"'
_cell_length_a 4.6755
_cell_length_b 4.6755
_cell_length_c 20.3947
_cell_angle_alpha 90.00
_cell_angle_beta 90.00
_cell_angle_gamma 120.00
loop_
_atom_site_label
_atom_site_type_symbol
_atom_site_fract_x
_atom_site_fract_y
_atom_site_fract_z
Pa1 Pa 0.0000 0.0000 0.0782
Ni1 Ni 0.0000 0.0000 0.1969
Ag1 Ag 0.0000 0.0000 0.3310
```